(1)
Here is a relaxed structure of TlPd4Au2 from Alexandria. Energies are from GGA-PBE.

Cell: 5.5674 5.5674 5.5674 Å, 115.68 106.46 106.46°
Fractional coordinates of all 7 atoms:
Au  0.5000  0.0000  0.5000
Au  0.5000  0.5000  0.0000
Pd  0.0000  0.5000  0.0000
Pd  0.5000  0.5000  0.5000
Pd  0.0000  0.0000  0.5000
Pd  0.5000  0.0000  0.0000
Tl  0.0000  0.0000  0.0000

Values from the calculation:
V: 18.81 Å³/atom
calculated formation energy: -0.003 eV/atom
mass density: 12915 kg/m³

---

(2)
Here is a relaxed structure of CdSi2Br from Alexandria. Energies are from GGA-PBE.

Cell: 8.0477 8.0477 8.0477 Å, 26.14 26.14 26.14°
Fractional coordinates of all 4 atoms:
Cd  0.7500  0.7500  0.7500
Br  0.2500  0.2500  0.2500
Si  0.0053  0.0053  0.0053
Si  0.4947  0.4947  0.4947

Values from the calculation:
V: 22.28 Å³/atom
formation energy without anion corrections: 0.5805 eV per atom
mass density: 4630 kg/m³

---

(3)
Here is a relaxed structure of SiH from Alexandria. Energies are from GGA-PBE.

Cell: 5.0385 9.0267 8.3931 Å, 90.00 90.00 90.00°
Fractional coordinates of all 32 atoms:
Si  0.7500  0.8848  0.7500
Si  0.0000  0.8652  0.0000
Si  0.7500  0.6152  0.7500
Si  0.5000  0.8652  0.5000
Si  0.7500  0.3848  0.2500
Si  0.2500  0.3848  0.7500
Si  0.5000  0.6348  0.0000
Si  0.5000  0.3652  0.0000
Si  0.2500  0.8848  0.2500
Si  0.5000  0.1348  0.5000
Si  0.2500  0.6152  0.2500
Si  0.2500  0.1152  0.7500
Si  0.0000  0.1348  0.0000
Si  0.7500  0.1152  0.2500
Si  0.0000  0.6348  0.5000
Si  0.0000  0.3652  0.5000
H  0.0000  0.0000  0.6794
H  0.7500  0.7500  0.4294
H  0.7500  0.7500  0.0706
H  0.2500  0.7500  0.9294
H  0.5000  0.5000  0.6794
H  0.2500  0.2500  0.0706
H  0.0000  0.5000  0.1794
H  0.5000  0.0000  0.8206
H  0.7500  0.2500  0.9294
H  0.7500  0.2500  0.5706
H  0.5000  0.0000  0.1794
H  0.0000  0.0000  0.3206
H  0.0000  0.5000  0.8206
H  0.2500  0.7500  0.5706
H  0.2500  0.2500  0.4294
H  0.5000  0.5000  0.3206

Values from the calculation:
V: 11.93 Å³/atom
raw total energy: -3.932 eV/atom
mass density: 2025 kg/m³

---

(4)
Here is a relaxed structure of Rb2NaAcF6 from Alexandria. Energies are from GGA-PBE.

Cell: 6.5741 6.6629 9.3271 Å, 90.00 90.86 90.00°
Fractional coordinates of all 20 atoms:
Rb  0.4881  0.4605  0.2520
Rb  0.9881  0.0395  0.7520
Rb  0.0119  0.9605  0.2480
Rb  0.5119  0.5395  0.7480
F  0.7102  0.2888  0.9532
F  0.4153  0.9693  0.7485
F  0.2082  0.2101  0.0435
F  0.9153  0.5307  0.2485
F  0.2102  0.2112  0.4532
F  0.7898  0.7888  0.5468
F  0.7918  0.7899  0.9565
F  0.0847  0.4693  0.7515
F  0.2898  0.7112  0.0468
F  0.7082  0.2899  0.5435
F  0.2918  0.7101  0.4565
F  0.5847  0.0307  0.2515
Na  0.0000  0.5000  0.0000
Na  0.5000  0.0000  0.5000
Ac  0.5000  0.0000  0.0000
Ac  0.0000  0.5000  0.5000

Values from the calculation:
V: 20.43 Å³/atom
formation energy without anion corrections: -3.2769 eV per atom
mass density: 4349 kg/m³

---

Question: Which of these has the lowest mass density?
Answer: SiH

---

Question: What is the formula in the first record?
Answer: TlPd4Au2